[1]
The following is a PBEsol calculation of a relaxed NbCrC2 crystal, from the Alexandria database.

```
data_NbCrC2
_chemical_formula_sum 'Nb2 Cr2 C4'
_space_group_name_H-M_alt 'P 1'
_space_group_IT_number 1
_space_group_name_Hall 'P 1'
_cell_length_a 5.655
_cell_length_b 5.655
_cell_length_c 5.655
_cell_angle_alpha 132.33
_cell_angle_beta 132.33
_cell_angle_gamma 69.71
loop_
_atom_site_label
_atom_site_type_symbol
_atom_site_fract_x
_atom_site_fract_y
_atom_site_fract_z
Nb1 Nb 0.000 0.000 0.000
Nb2 Nb 0.750 0.250 0.500
Cr1 Cr 0.250 0.750 0.500
Cr2 Cr 0.500 0.500 0.000
C1 C 0.160 0.625 0.035
C2 C 0.375 0.410 0.535
C3 C 0.590 0.125 0.965
C4 C 0.875 0.840 0.465
```

Properties
Calculated total energy in eV per atom: -9.75
Formation energy from the elements in eV/atom: 0.3345
SG: No. 122
Volume in Å³/cell: 96.9
DOS(E_F) in states/eV per atom: 0.65

=====

[2]
The following is a PBEsol calculation of a relaxed Ba3Ta2CoO9 crystal, from the Alexandria database.

```
data_Ba3Ta2CoO9
_chemical_formula_sum 'Ba3 Ta2 Co1 O9'
_space_group_name_H-M_alt 'P 1'
_space_group_IT_number 1
_space_group_name_Hall 'P 1'
_cell_length_a 5.742
_cell_length_b 5.742
_cell_length_c 7.065
_cell_angle_alpha 90.00
_cell_angle_beta 90.00
_cell_angle_gamma 120.00
loop_
_atom_site_label
_atom_site_type_symbol
_atom_site_fract_x
_atom_site_fract_y
_atom_site_fract_z
Ba1 Ba 0.000 0.000 0.000
Ba2 Ba 0.333 0.667 0.661
Ba3 Ba 0.667 0.333 0.339
Ta1 Ta 0.333 0.667 0.176
Ta2 Ta 0.667 0.333 0.824
Co1 Co 0.000 0.000 0.500
O1 O 0.000 0.500 0.000
O2 O 0.170 0.341 0.327
O3 O 0.170 0.830 0.327
O4 O 0.341 0.170 0.673
O5 O 0.500 0.000 0.000
O6 O 0.500 0.500 0.000
O7 O 0.659 0.830 0.327
O8 O 0.830 0.170 0.673
O9 O 0.830 0.659 0.673
```

Properties
Formation energy from raw total energies in meV per atom: -2734
Calculated total energy in eV per atom: -8.50
SG: No. 164
Volume in Å³/cell: 201.7
DOS(E_F) in states/eV per atom: 0.40